No. 1
Compound: FeNiAu
Source: Alexandria
Functional: PBE
Structure: optimized geometry

Lattice parameters (Å, degrees): 4.782 4.782 4.782 146.48 136.52 56.00
Last column: magnetic moment on the atom in μB.
Atoms (fractional coordinates):
Fe 0.682 0.682 0.000  2.93
Au 0.000 0.000 0.000  0.04
Ni 0.319 0.319 0.000  0.62

Values from the calculation:
Spin magnetization   1.176 μB/atom
Space group   Imm2
E_tot   -17.35 eV per cell

---

No. 2
Compound: CoPt2Br
Source: Alexandria
Functional: PBE
Structure: optimized geometry

Lattice parameters (Å, degrees): 5.821 5.821 5.821 152.25 133.00 55.46
Last column: magnetic moment on the atom in μB.
Atoms (fractional coordinates):
Pt 0.474 0.474 0.000  0.27
Br 0.750 0.250 0.500  0.06
Co 0.250 0.750 0.500  2.04
Pt 0.026 0.026 0.000  0.27

Values from the calculation:
Spin magnetization   0.661 μB/atom
Space group   Immm
E_tot   -18.90 eV per cell

---

No. 3
Compound: Li3Er4Tl4
Source: Alexandria
Functional: PBE
Structure: optimized geometry

Lattice parameters (Å, degrees): 3.421 9.522 10.269 117.62 99.59 90.00
Last column: magnetic moment on the atom in μB.
Atoms (fractional coordinates):
Li 0.091 0.091 0.182  0.00
Li 0.909 0.909 0.818  0.00
Tl 0.722 0.222 0.444  0.01
Er 0.334 0.521 0.667  0.19
Tl 0.278 0.778 0.556  0.01
Tl 0.500 0.205 0.000  0.00
Er 0.666 0.854 0.333  0.19
Er 0.666 0.479 0.333  0.19
Li 0.000 0.500 0.000  0.00
Er 0.334 0.146 0.667  0.19
Tl 0.500 0.795 0.000  0.00

Values from the calculation:
Spin magnetization   0.092 μB/atom
Space group   Immm
E_tot   -34.44 eV per cell

---

No. 4
Compound: SrCo2
Source: Alexandria
Functional: PBE
Structure: optimized geometry

Lattice parameters (Å, degrees): 9.137 9.137 4.116 90.00 90.00 154.17
Last column: magnetic moment on the atom in μB.
Atoms (fractional coordinates):
Sr 0.111 0.889 0.750  -0.05
Co 0.692 0.308 0.250  1.57
Co 0.308 0.692 0.750  1.57
Sr 0.889 0.111 0.250  -0.05
Co 0.250 0.750 0.250  1.64
Co 0.750 0.250 0.750  1.64

Values from the calculation:
Spin magnetization   0.990 μB/atom
Space group   Cmcm
E_tot   -30.32 eV per cell

---

No. 5
Compound: Hg3RuSe
Source: Alexandria
Functional: PBE
Structure: optimized geometry

Lattice parameters (Å, degrees): 5.273 5.273 5.273 90.00 90.00 90.00
Last column: magnetic moment on the atom in μB.
Atoms (fractional coordinates):
Hg 0.500 0.000 0.000  0.05
Se 0.500 0.500 0.500  0.70
Hg 0.000 0.500 0.000  0.04
Hg 0.000 0.000 0.500  0.02
Ru 0.000 0.000 0.000  1.38

Values from the calculation:
Spin magnetization   0.531 μB/atom
Space group   Pm-3m
E_tot   -9.88 eV per cell

---

No. 6
Compound: Sc2TaBr
Source: Alexandria
Functional: PBE
Structure: optimized geometry

Lattice parameters (Å, degrees): 5.640 5.640 5.328 75.53 75.53 32.23
Atoms (fractional coordinates):
Ta 0.481 0.481 0.432
Sc 0.218 0.218 0.317
Sc 0.012 0.012 0.957
Br 0.790 0.790 0.794

Values from the calculation:
Spin magnetization   0.000 μB/atom
Space group   Cm
E_tot   -26.29 eV per cell

---

No. 7
Compound: HoHgBi2
Source: Alexandria
Functional: PBE
Structure: optimized geometry

Lattice parameters (Å, degrees): 4.835 4.823 4.823 90.00 90.00 90.00
Atoms (fractional coordinates):
Bi 0.000 0.000 0.500
Ho 0.500 0.500 0.500
Bi 0.000 0.500 0.000
Hg 0.500 0.000 0.000

Values from the calculation:
Spin magnetization   0.000 μB/atom
Space group   P4/mmm
E_tot   -14.03 eV per cell

---

No. 8
Compound: LuZrZnOs
Source: Alexandria
Functional: PBE
Structure: optimized geometry

Lattice parameters (Å, degrees): 4.746 4.746 4.746 60.00 60.00 60.00
Atoms (fractional coordinates):
Zn 0.000 0.000 0.000
Lu 0.750 0.750 0.750
Zr 0.250 0.250 0.250
Os 0.500 0.500 0.500

Values from the calculation:
Spin magnetization   0.000 μB/atom
Space group   F-43m
E_tot   -27.03 eV per cell

---

No. 9
Compound: Ba3Mg2Zn4
Source: Alexandria
Functional: PBE
Structure: optimized geometry

Lattice parameters (Å, degrees): 4.701 7.111 9.621 111.29 90.00 109.30
Atoms (fractional coordinates):
Zn 0.731 0.461 0.064
Ba 0.620 0.239 0.695
Ba 0.380 0.761 0.305
Mg 0.682 0.363 0.349
Mg 0.318 0.637 0.651
Ba 0.000 0.000 0.000
Zn 0.269 0.539 0.936
Zn 0.905 0.811 0.579
Zn 0.095 0.189 0.421

Values from the calculation:
Spin magnetization   0.000 μB/atom
Space group   C2/m
E_tot   -15.21 eV per cell

---

No. 10
Compound: VIr3Ru
Source: Alexandria
Functional: PBE
Structure: optimized geometry

Lattice parameters (Å, degrees): 4.668 4.668 4.668 90.00 90.00 90.00
Last column: magnetic moment on the atom in μB.
Atoms (fractional coordinates):
Ir 0.000 0.500 0.000  -0.13
Ru 0.000 0.000 0.000  0.08
Ir 0.500 0.000 0.000  -0.13
V 0.500 0.500 0.500  2.59
Ir 0.000 0.000 0.500  -0.13

Values from the calculation:
Spin magnetization   0.556 μB/atom
Space group   Pm-3m
E_tot   -35.97 eV per cell

---

No. 11
Compound: SiMo2Br
Source: Alexandria
Functional: PBE
Structure: optimized geometry

Lattice parameters (Å, degrees): 4.825 4.825 4.825 129.83 129.83 73.68
Atoms (fractional coordinates):
Mo 0.250 0.750 0.500
Si 0.500 0.500 0.000
Mo 0.000 0.000 0.000
Br 0.750 0.250 0.500

Values from the calculation:
Spin magnetization   0.000 μB/atom
Space group   I-4m2
E_tot   -25.84 eV per cell

---

No. 12
Compound: LiZn2Au
Source: Alexandria
Functional: PBE
Structure: optimized geometry

Lattice parameters (Å, degrees): 4.482 2.772 4.993 82.00 90.00 90.00
Atoms (fractional coordinates):
Au 0.500 0.250 0.250
Li 0.500 0.750 0.750
Zn 0.000 0.010 0.993
Zn 0.000 0.490 0.507

Values from the calculation:
Spin magnetization   0.000 μB/atom
Space group   P2/m
E_tot   -8.80 eV per cell